No. 1
VASP calculation (GGA-PBE) on a relaxed SrHo crystal.

Total magnetic moment, μB/f.u.: 0.6
Offset from the most stable computed form, eV per formula unit: 0.00
Total DFT energy (no corrections), eV/atom: -2.8731

CIF file:
```
data_SrHo
_symmetry_space_group_name_H-M 'P -6 m 2'
_symmetry_Int_Tables_number 187
_symmetry_space_group_name_Hall 'P -6 2'
_cell_length_a 3.7852
_cell_length_b 3.7852
_cell_length_c 6.3143
_cell_angle_alpha 90.00
_cell_angle_beta 90.00
_cell_angle_gamma 120.00
loop_
_atom_site_label
_atom_site_type_symbol
_atom_site_fract_x
_atom_site_fract_y
_atom_site_fract_z
_atom_site_occupancy
Sr1 Sr 0.0000 0.0000 0.0000 1
Ho1 Ho 0.3333 0.6667 0.5000 1
```

=====

No. 2
VASP calculation (GGA-PBE) on a relaxed Ba3NbAs3O crystal.

Total magnetic moment, μB/f.u.: 0.0
Total DFT energy (no corrections), eV/atom: -5.7786

CIF file:
```
data_Ba3NbAs3O
_symmetry_space_group_name_H-M 'P n m a'
_symmetry_Int_Tables_number 62
_cell_length_a 6.799
_cell_length_b 11.213
_cell_length_c 13.611
_cell_angle_alpha 90.00
_cell_angle_beta 90.00
_cell_angle_gamma 90.00
loop_
_symmetry_equiv_pos_as_xyz
'x,y,z'
'-x,-y,-z'
'-x+1/2,-y,z+1/2'
'x+1/2,y,-z+1/2'
'x+1/2,-y+1/2,-z+1/2'
'-x+1/2,y+1/2,z+1/2'
'-x,y+1/2,-z'
'x,-y+1/2,z'
loop_
_atom_site_label
_atom_site_type_symbol
_atom_site_fract_x
_atom_site_fract_y
_atom_site_fract_z
_atom_site_occupancy
Ba1 Ba 0.221 0.250 0.126 1
Ba2 Ba 0.242 0.545 0.368 1
Nb1 Nb 0.161 0.250 0.545 1
As1 As 0.223 0.250 0.365 1
As2 As 0.235 0.556 0.116 1
O1 O 0.119 0.750 0.446 1
```

=====

No. 3
VASP calculation (GGA-PBE) on a relaxed ErCuAu4 crystal.

Total magnetic moment, μB/f.u.: 0.0
Offset from the most stable computed form, eV per formula unit: 0.00
Total DFT energy (no corrections), eV/atom: -3.9529

CIF file:
```
data_ErCuAu4
_symmetry_space_group_name_H-M 'P 4/m m m'
_symmetry_Int_Tables_number 123
_symmetry_space_group_name_Hall '-P 4 2'
_cell_length_a 3.573
_cell_length_b 3.573
_cell_length_c 8.795
_cell_angle_alpha 90.00
_cell_angle_beta 90.00
_cell_angle_gamma 90.00
loop_
_atom_site_label
_atom_site_type_symbol
_atom_site_fract_x
_atom_site_fract_y
_atom_site_fract_z
_atom_site_occupancy
Er1 Er 0.000 0.000 0.000 1
Cu1 Cu 0.500 0.500 0.500 1
Au1 Au 0.000 0.000 0.345 1
Au2 Au 0.500 0.500 0.183 1
```

=====

No. 4
VASP calculation (GGA-PBE) on a relaxed Gd2Hf2O5 crystal.

Total magnetic moment, μB/f.u.: 0.0
Offset from the most stable computed form, eV per formula unit: 0.00
Total DFT energy (no corrections), eV/atom: -8.7776

CIF file:
```
data_Gd2Hf2O5
_symmetry_space_group_name_H-M 'P 4/m m m'
_symmetry_Int_Tables_number 123
_symmetry_space_group_name_Hall '-P 4 2'
_cell_length_a 4.088
_cell_length_b 4.088
_cell_length_c 7.359
_cell_angle_alpha 90.00
_cell_angle_beta 90.00
_cell_angle_gamma 90.00
loop_
_atom_site_label
_atom_site_type_symbol
_atom_site_fract_x
_atom_site_fract_y
_atom_site_fract_z
_atom_site_occupancy
Gd1 Gd 0.000 0.000 0.000 1
Gd2 Gd 0.000 0.000 0.500 1
Hf1 Hf 0.500 0.500 0.218 1
O1 O 0.000 0.500 0.256 1
O2 O 0.500 0.500 0.500 1
```

=====

No. 5
VASP calculation (GGA-PBE) on a relaxed H24PtC8N2Cl6 crystal.

Total magnetic moment, μB/f.u.: 0.0
Total DFT energy (no corrections), eV/atom: -4.8900

CIF file:
```
data_H24PtC8N2Cl6
_symmetry_space_group_name_H-M 'F m -3 m'
_symmetry_Int_Tables_number 225
_symmetry_space_group_name_Hall '-F 4 2 3'
_cell_length_a 12.763
_cell_length_b 12.763
_cell_length_c 12.763
_cell_angle_alpha 90.00
_cell_angle_beta 90.00
_cell_angle_gamma 90.00
loop_
_atom_site_label
_atom_site_type_symbol
_atom_site_fract_x
_atom_site_fract_y
_atom_site_fract_z
_atom_site_occupancy
H1 H 0.133 0.133 0.233 1
Pt1 Pt 0.000 0.000 0.500 1
C1 C 0.182 0.182 0.182 1
N1 N 0.250 0.250 0.250 1
Cl1 Cl 0.000 0.000 0.316 1
```

=====

No. 6
VASP calculation (GGA-PBE) on a relaxed ZrCo5Si3 crystal.

Total magnetic moment, μB/f.u.: 0.1
Total DFT energy (no corrections), eV/atom: -7.3282

CIF file:
```
data_ZrCo5Si3
_symmetry_space_group_name_H-M 'P 63/m'
_symmetry_Int_Tables_number 176
_symmetry_space_group_name_Hall '-P 6c'
_cell_length_a 14.4999
_cell_length_b 14.4999
_cell_length_c 3.6079
_cell_angle_alpha 90.00
_cell_angle_beta 90.00
_cell_angle_gamma 120.00
loop_
_atom_site_label
_atom_site_type_symbol
_atom_site_fract_x
_atom_site_fract_y
_atom_site_fract_z
_atom_site_occupancy
Zr1 Zr 0.0999 0.7065 0.2500 1
Co1 Co 0.0280 0.8939 0.2500 1
Co2 Co 0.0479 0.2684 0.2500 1
Co3 Co 0.0744 0.5346 0.7500 1
Co4 Co 0.1494 0.4136 0.7500 1
Co5 Co 0.2238 0.5714 0.2500 1
Si1 Si 0.0588 0.4289 0.2500 1
Si2 Si 0.1172 0.8666 0.7500 1
Si3 Si 0.2369 0.6821 0.7500 1
```

=====

No. 7
VASP calculation (GGA-PBE) on a relaxed TbNd2S3 crystal.

Total magnetic moment, μB/f.u.: 0.0
Total DFT energy (no corrections), eV/atom: -6.4460

CIF file:
```
data_TbNd2S3
_symmetry_space_group_name_H-M 'P -3 m 1'
_symmetry_Int_Tables_number 164
_symmetry_space_group_name_Hall '-P 3 2"'
_cell_length_a 4.0061
_cell_length_b 4.0061
_cell_length_c 9.8942
_cell_angle_alpha 90.00
_cell_angle_beta 90.00
_cell_angle_gamma 120.00
loop_
_atom_site_label
_atom_site_type_symbol
_atom_site_fract_x
_atom_site_fract_y
_atom_site_fract_z
_atom_site_occupancy
Tb1 Tb 0.0000 0.0000 0.0000 1
Nd1 Nd 0.3333 0.6667 0.6697 1
S1 S 0.0000 0.0000 0.5000 1
S2 S 0.3333 0.6667 0.1561 1
```

=====

No. 8
VASP calculation (GGA-PBE) on a relaxed HfCd crystal.

Total magnetic moment, μB/f.u.: 0.1
Total DFT energy (no corrections), eV/atom: -3.8666

CIF file:
```
data_HfCd
_symmetry_space_group_name_H-M 'F -4 3 m'
_symmetry_Int_Tables_number 216
_symmetry_space_group_name_Hall 'F -4 2 3'
_cell_length_a 6.341
_cell_length_b 6.341
_cell_length_c 6.341
_cell_angle_alpha 90.00
_cell_angle_beta 90.00
_cell_angle_gamma 90.00
loop_
_atom_site_label
_atom_site_type_symbol
_atom_site_fract_x
_atom_site_fract_y
_atom_site_fract_z
_atom_site_occupancy
Hf1 Hf 0.000 0.000 0.000 1
Cd1 Cd 0.250 0.250 0.250 1
```

=====

No. 9
VASP calculation (GGA-PBE) on a relaxed SmAlGaCu2 crystal.

Total magnetic moment, μB/f.u.: 0.0
Total DFT energy (no corrections), eV/atom: -4.2299

CIF file:
```
data_SmAlGaCu2
_symmetry_space_group_name_H-M 'P 4/n m m'
_symmetry_Int_Tables_number 129
_cell_length_a 4.176
_cell_length_b 4.176
_cell_length_c 10.164
_cell_angle_alpha 90.00
_cell_angle_beta 90.00
_cell_angle_gamma 90.00
loop_
_symmetry_equiv_pos_as_xyz
'x,y,z'
'-x,-y,-z'
'-y+1/2,x,z'
'y+1/2,-x,-z'
'-x+1/2,-y+1/2,z'
'x+1/2,y+1/2,-z'
'y,-x+1/2,z'
'-y,x+1/2,-z'
'x+1/2,-y,-z'
'-x+1/2,y,z'
'-y,-x,-z'
'y,x,z'
'-x,y+1/2,-z'
'x,-y+1/2,z'
'y+1/2,x+1/2,-z'
'-y+1/2,-x+1/2,z'
loop_
_atom_site_label
_atom_site_type_symbol
_atom_site_fract_x
_atom_site_fract_y
_atom_site_fract_z
_atom_site_occupancy
Sm1 Sm 0.250 0.250 0.243 1
Al1 Al 0.250 0.750 0.500 1
Ga1 Ga 0.250 0.250 0.871 1
Cu1 Cu 0.250 0.250 0.633 1
Cu2 Cu 0.250 0.750 0.000 1
```

=====

No. 10
VASP calculation (GGA-PBE) on a relaxed Na2NiH14N6 crystal.

Total magnetic moment, μB/f.u.: 0.0
Total DFT energy (no corrections), eV/atom: -4.8816

CIF file:
```
data_Na2NiH14N6
_symmetry_space_group_name_H-M 'I 4/m'
_symmetry_Int_Tables_number 87
_symmetry_space_group_name_Hall '-I 4'
_cell_length_a 8.574
_cell_length_b 8.574
_cell_length_c 10.201
_cell_angle_alpha 90.00
_cell_angle_beta 90.00
_cell_angle_gamma 90.00
loop_
_atom_site_label
_atom_site_type_symbol
_atom_site_fract_x
_atom_site_fract_y
_atom_site_fract_z
_atom_site_occupancy
Na1 Na 0.123 0.223 0.000 1
Ni1 Ni 0.000 0.000 0.197 1
H1 H 0.003 0.796 0.419 1
H2 H 0.019 0.292 0.221 1
H3 H 0.075 0.350 0.500 1
H4 H 0.153 0.771 0.250 1
N1 N 0.018 0.726 0.500 1
N2 N 0.062 0.785 0.185 1
```

=====

No. 11
VASP calculation (GGA-PBE) on a relaxed ZnFeSiAu crystal.

Total magnetic moment, μB/f.u.: 1.8
Offset from the most stable computed form, eV per formula unit: 0.00
Total DFT energy (no corrections), eV/atom: -4.4726

CIF file:
```
data_ZnFeSiAu
_symmetry_space_group_name_H-M 'F -4 3 m'
_symmetry_Int_Tables_number 216
_symmetry_space_group_name_Hall 'F -4 2 3'
_cell_length_a 6.080
_cell_length_b 6.080
_cell_length_c 6.080
_cell_angle_alpha 90.00
_cell_angle_beta 90.00
_cell_angle_gamma 90.00
loop_
_atom_site_label
_atom_site_type_symbol
_atom_site_fract_x
_atom_site_fract_y
_atom_site_fract_z
_atom_site_occupancy
Zn1 Zn 0.000 0.000 0.000 1
Fe1 Fe 0.250 0.250 0.750 1
Si1 Si 0.000 0.000 0.500 1
Au1 Au 0.250 0.250 0.250 1
```

=====

No. 12
VASP calculation (GGA-PBE) on a relaxed MgBeAlFe crystal.

Total magnetic moment, μB/f.u.: 1.2
Offset from the most stable computed form, eV per formula unit: 0.05
Total DFT energy (no corrections), eV/atom: -4.1760

CIF file:
```
data_MgBeAlFe
_symmetry_space_group_name_H-M 'F -4 3 m'
_symmetry_Int_Tables_number 216
_symmetry_space_group_name_Hall 'F -4 2 3'
_cell_length_a 5.888
_cell_length_b 5.888
_cell_length_c 5.888
_cell_angle_alpha 90.00
_cell_angle_beta 90.00
_cell_angle_gamma 90.00
loop_
_atom_site_label
_atom_site_type_symbol
_atom_site_fract_x
_atom_site_fract_y
_atom_site_fract_z
_atom_site_occupancy
Mg1 Mg 0.000 0.000 0.000 1
Be1 Be 0.250 0.250 0.750 1
Al1 Al 0.250 0.250 0.250 1
Fe1 Fe 0.000 0.000 0.500 1
```

=====

No. 13
VASP calculation (GGA-PBE) on a relaxed Y4Zr2Ge3N3 crystal.

Total magnetic moment, μB/f.u.: 0.0
Total DFT energy (no corrections), eV/atom: -8.0056

CIF file:
```
data_Y4Zr2Ge3N3
_symmetry_space_group_name_H-M 'C 1 2/c 1'
_symmetry_Int_Tables_number 15
_cell_length_a 10.314
_cell_length_b 5.961
_cell_length_c 14.496
_cell_angle_alpha 90.00
_cell_angle_beta 103.89
_cell_angle_gamma 90.00
loop_
_symmetry_equiv_pos_as_xyz
'x,y,z'
'-x,-y,-z'
'-x,y,-z+1/2'
'x,-y,z+1/2'
'x+1/2,y+1/2,z'
'-x+1/2,-y+1/2,-z'
'-x+1/2,y+1/2,-z+1/2'
'x+1/2,-y+1/2,z+1/2'
loop_
_atom_site_label
_atom_site_type_symbol
_atom_site_fract_x
_atom_site_fract_y
_atom_site_fract_z
_atom_site_occupancy
Y1 Y 0.117 0.079 0.098 1
Y2 Y 0.215 0.086 0.402 1
Zr1 Zr 0.059 0.414 0.920 1
Ge1 Ge 0.000 0.147 0.750 1
Ge2 Ge 0.133 0.448 0.249 1
N1 N 0.081 0.256 0.500 1
N2 N 0.250 0.250 0.000 1
```

=====

No. 14
VASP calculation (GGA-PBE) on a relaxed Cs2K2HgAs2 crystal.

Offset from the most stable computed form, eV per formula unit: 0.10
Total DFT energy (no corrections), eV/atom: -2.3511

CIF file:
```
data_Cs2K2HgAs2
_symmetry_space_group_name_H-M 'R -3 m'
_symmetry_Int_Tables_number 166
_symmetry_space_group_name_Hall '-R 3 2"'
_cell_length_a 6.1934
_cell_length_b 6.1934
_cell_length_c 27.9301
_cell_angle_alpha 90.00
_cell_angle_beta 90.00
_cell_angle_gamma 120.00
loop_
_atom_site_label
_atom_site_type_symbol
_atom_site_fract_x
_atom_site_fract_y
_atom_site_fract_z
_atom_site_occupancy
Cs1 Cs 0.0000 0.0000 0.1127 1
K1 K 0.0000 0.0000 0.2924 1
Hg1 Hg 0.0000 0.0000 0.5000 1
As1 As 0.0000 0.0000 0.4090 1
```

=====

No. 15
VASP calculation (GGA-PBE) on a relaxed HfTa3B2 crystal.

Total magnetic moment, μB/f.u.: 0.0
Total DFT energy (no corrections), eV/atom: -10.0003

CIF file:
```
data_HfTa3B2
_symmetry_space_group_name_H-M 'P 6/m m m'
_symmetry_Int_Tables_number 191
_symmetry_space_group_name_Hall '-P 6 2'
_cell_length_a 5.7275
_cell_length_b 5.7275
_cell_length_c 3.2784
_cell_angle_alpha 90.00
_cell_angle_beta 90.00
_cell_angle_gamma 120.00
loop_
_atom_site_label
_atom_site_type_symbol
_atom_site_fract_x
_atom_site_fract_y
_atom_site_fract_z
_atom_site_occupancy
Hf1 Hf 0.0000 0.0000 0.0000 1
Ta1 Ta 0.0000 0.5000 0.5000 1
B1 B 0.3333 0.6667 0.0000 1
```

=====

No. 16
VASP calculation (GGA-PBE) on a relaxed Ag10As crystal.

Total DFT energy (no corrections), eV/atom: -2.9143

CIF file:
```
data_Ag10As
_symmetry_space_group_name_H-M 'C 1 2/m 1'
_symmetry_Int_Tables_number 12
_cell_length_a 8.955
_cell_length_b 4.012
_cell_length_c 32.162
_cell_angle_alpha 90.00
_cell_angle_beta 90.50
_cell_angle_gamma 90.00
loop_
_symmetry_equiv_pos_as_xyz
'x,y,z'
'-x,-y,-z'
'-x,y,-z'
'x,-y,z'
'x+1/2,y+1/2,z'
'-x+1/2,-y+1/2,-z'
'-x+1/2,y+1/2,-z'
'x+1/2,-y+1/2,z'
loop_
_atom_site_label
_atom_site_type_symbol
_atom_site_fract_x
_atom_site_fract_y
_atom_site_fract_z
_atom_site_occupancy
Ag1 Ag 0.047 0.000 0.194 1
Ag2 Ag 0.050 0.000 0.896 1
Ag3 Ag 0.050 0.500 0.044 1
Ag4 Ag 0.051 0.500 0.745 1
Ag5 Ag 0.145 0.000 0.290 1
Ag6 Ag 0.149 0.500 0.135 1
Ag7 Ag 0.150 0.000 0.985 1
Ag8 Ag 0.151 0.500 0.836 1
Ag9 Ag 0.246 0.500 0.223 1
Ag10 Ag 0.249 0.000 0.074 1
As1 As 0.155 0.000 0.696 1
```

=====

No. 17
VASP calculation (GGA-PBE) on a relaxed CsPrDy crystal.

Total magnetic moment, μB/f.u.: 4.5
Offset from the most stable computed form, eV per formula unit: 0.03
Total DFT energy (no corrections), eV/atom: -2.2085

CIF file:
```
data_CsPrDy
_symmetry_space_group_name_H-M 'F -4 3 m'
_symmetry_Int_Tables_number 216
_symmetry_space_group_name_Hall 'F -4 2 3'
_cell_length_a 8.573
_cell_length_b 8.573
_cell_length_c 8.573
_cell_angle_alpha 90.00
_cell_angle_beta 90.00
_cell_angle_gamma 90.00
loop_
_atom_site_label
_atom_site_type_symbol
_atom_site_fract_x
_atom_site_fract_y
_atom_site_fract_z
_atom_site_occupancy
Cs1 Cs 0.000 0.000 0.000 1
Pr1 Pr 0.250 0.250 0.250 1
Dy1 Dy 0.000 0.000 0.500 1
```

=====

No. 18
VASP calculation (GGA-PBE) on a relaxed Lu2TaFe crystal.

Total magnetic moment, μB/f.u.: 1.1
Total DFT energy (no corrections), eV/atom: -6.8453

CIF file:
```
data_Lu2TaFe
_symmetry_space_group_name_H-M 'F -4 3 m'
_symmetry_Int_Tables_number 216
_symmetry_space_group_name_Hall 'F -4 2 3'
_cell_length_a 6.819
_cell_length_b 6.819
_cell_length_c 6.819
_cell_angle_alpha 90.00
_cell_angle_beta 90.00
_cell_angle_gamma 90.00
loop_
_atom_site_label
_atom_site_type_symbol
_atom_site_fract_x
_atom_site_fract_y
_atom_site_fract_z
_atom_site_occupancy
Lu1 Lu 0.000 0.000 0.000 1
Lu2 Lu 0.250 0.250 0.250 1
Ta1 Ta 0.000 0.000 0.500 1
Fe1 Fe 0.250 0.250 0.750 1
```